Entry 1:
Entry from the Open Quantum Materials Database: a relaxed KMo3Se5 crystal (GGA-PBE).

Summary:
magnetization: 3.93 Bohr magnetons per cell

```
KMo3Se5
1.0
-0.522 0.088 -5.800
5.034 -1.609 2.446
-2.366 -7.246 0.103
K Mo Se
1 3 5
Direct
0.000 0.000 0.000
0.500 0.000 0.500
0.000 0.500 0.500
0.500 0.500 0.500
0.667 0.333 0.245
0.333 0.667 0.245
0.000 0.000 0.500
0.667 0.333 0.755
0.333 0.667 0.755
```

***

Entry 2:
Entry from the Open Quantum Materials Database: a relaxed Li4CdAgGe2 crystal (GGA-PBE).

```
Li4CdAgGe2
1.0
-1.500 -0.371 -4.212
3.254 -2.955 -0.899
-3.817 -4.744 1.777
Ag Cd Ge Li
1 1 2 4
Direct
0.500 0.500 0.000
0.000 0.000 0.500
0.000 0.500 0.242
0.500 0.000 0.758
0.000 0.000 0.000
0.500 0.000 0.241
0.500 0.500 0.500
0.000 0.500 0.759
```

***

Entry 3:
Entry from the Open Quantum Materials Database: a relaxed YRe2Pd crystal (GGA-PBE).

Summary:
magnetization: 0.30 Bohr magnetons per cell
E_form: 0.197 eV per atom

```
YRe2Pd
1.0
2.302 1.329 3.760
-2.302 1.329 3.760
0.000 -2.659 3.760
Pd Re Y
1 2 1
Direct
0.250 0.250 0.250
0.500 0.500 0.500
0.750 0.750 0.750
0.000 0.000 0.000
```

***

Entry 4:
Entry from the Open Quantum Materials Database: a relaxed SbMoOs2 crystal (GGA-PBE).

Summary:
magnetization: 0.01 Bohr magnetons per cell

```
SbMoOs2
1.0
0.000 3.185 3.185
3.185 0.000 3.185
3.185 3.185 0.000
Mo Os Sb
1 2 1
Direct
0.250 0.250 0.250
0.000 0.000 0.000
0.750 0.750 0.750
0.500 0.500 0.500
```

***

Entry 5:
Entry from the Open Quantum Materials Database: a relaxed Hf3Ge2Au2 crystal (GGA-PBE).

Summary:
magnetization: 0.04 Bohr magnetons per cell

```
Hf3Ge2Au2
1.0
2.568 4.136 6.554
-2.070 4.353 6.590
0.087 0.547 8.146
Au Ge Hf
2 2 3
Direct
0.011 0.011 0.011
0.494 0.494 0.494
0.249 0.249 0.249
0.750 0.750 0.750
0.376 0.376 0.376
0.623 0.623 0.623
0.871 0.871 0.871
```

***

Entry 6:
Entry from the Open Quantum Materials Database: a relaxed CdAu124 crystal (GGA-PBE).

Summary:
E_form: -0.011 eV per atom

```
CdAu124
1.0
0.000 10.432 10.432
10.432 0.000 10.432
10.432 10.432 0.000
Au Cd
124 1
Direct
0.200 0.000 0.000
0.400 0.000 0.000
0.600 0.000 0.000
0.800 0.000 0.000
0.400 0.200 0.000
0.600 0.200 0.000
0.200 0.200 0.000
0.800 0.200 0.000
0.000 0.200 0.000
0.200 0.400 0.000
0.400 0.400 0.000
0.800 0.400 0.000
0.600 0.400 0.000
0.000 0.400 0.000
0.000 0.600 0.000
0.400 0.600 0.000
0.200 0.600 0.000
0.600 0.600 0.000
0.800 0.600 0.000
0.200 0.800 0.000
0.000 0.800 0.000
0.400 0.800 0.000
0.800 0.800 0.000
0.600 0.800 0.000
0.600 0.600 0.200
0.800 0.400 0.200
0.800 0.600 0.200
0.600 0.800 0.200
0.400 0.800 0.200
0.400 0.600 0.200
0.600 0.400 0.200
0.000 0.400 0.200
0.400 0.400 0.200
0.400 0.000 0.200
0.800 0.800 0.200
0.800 0.200 0.200
0.200 0.800 0.200
0.200 0.200 0.200
0.400 0.200 0.200
0.200 0.400 0.200
0.200 0.000 0.200
0.600 0.000 0.200
0.000 0.600 0.200
0.200 0.600 0.200
0.600 0.200 0.200
0.000 0.200 0.200
0.800 0.000 0.200
0.000 0.800 0.200
0.000 0.000 0.200
0.200 0.200 0.400
0.800 0.600 0.400
0.600 0.800 0.400
0.600 0.200 0.400
0.200 0.600 0.400
0.800 0.200 0.400
0.200 0.800 0.400
0.400 0.400 0.400
0.800 0.400 0.400
0.400 0.800 0.400
0.600 0.600 0.400
0.600 0.400 0.400
0.400 0.600 0.400
0.400 0.000 0.400
0.000 0.400 0.400
0.400 0.200 0.400
0.200 0.400 0.400
0.200 0.000 0.400
0.000 0.200 0.400
0.800 0.800 0.400
0.800 0.000 0.400
0.000 0.800 0.400
0.600 0.000 0.400
0.000 0.600 0.400
0.000 0.000 0.400
0.000 0.000 0.600
0.400 0.000 0.600
0.000 0.400 0.600
0.200 0.000 0.600
0.000 0.200 0.600
0.200 0.200 0.600
0.600 0.000 0.600
0.800 0.000 0.600
0.000 0.600 0.600
0.800 0.600 0.600
0.000 0.800 0.600
0.600 0.800 0.600
0.600 0.400 0.600
0.400 0.400 0.600
0.400 0.600 0.600
0.600 0.200 0.600
0.200 0.600 0.600
0.600 0.600 0.600
0.800 0.400 0.600
0.400 0.800 0.600
0.800 0.200 0.600
0.400 0.200 0.600
0.200 0.400 0.600
0.200 0.800 0.600
0.800 0.800 0.600
0.000 0.200 0.800
0.000 0.000 0.800
0.200 0.000 0.800
0.800 0.000 0.800
0.000 0.800 0.800
0.400 0.000 0.800
0.000 0.400 0.800
0.800 0.400 0.800
0.400 0.800 0.800
0.800 0.600 0.800
0.600 0.800 0.800
0.800 0.800 0.800
0.200 0.200 0.800
0.800 0.200 0.800
0.200 0.800 0.800
0.600 0.000 0.800
0.000 0.600 0.800
0.600 0.600 0.800
0.600 0.200 0.800
0.200 0.600 0.800
0.400 0.200 0.800
0.200 0.400 0.800
0.600 0.400 0.800
0.400 0.600 0.800
0.400 0.400 0.800
0.000 0.000 0.000
```

***

Entry 7:
Entry from the Open Quantum Materials Database: a relaxed AcY2Sc2 crystal (GGA-PBE).

Summary:
ΔE to the lowest computed polymorph: 0 meV/atom
magnetization: 3.35 Bohr magnetons per cell
E_form: 0.395 eV per atom

```
AcY2Sc2
1.0
3.347 -3.347 0.000
3.347 3.347 0.000
-3.347 0.000 7.380
Ac Sc Y
1 2 2
Direct
0.000 0.000 0.000
0.597 0.597 0.193
0.403 0.403 0.807
0.750 0.250 0.500
0.250 0.750 0.500
```

***

Entry 8:
Entry from the Open Quantum Materials Database: a relaxed Tb2Tc3Ge5 crystal (GGA-PBE).

Summary:
magnetization: 0.05 Bohr magnetons per cell

```
Tb2Tc3Ge5
1.0
-4.057 -0.908 7.533
-1.011 3.606 -7.746
-1.245 -8.496 -0.535
Ge Tb Tc
10 4 6
Direct
0.412 0.686 0.097
0.455 0.250 0.205
0.955 0.750 0.205
0.088 0.186 0.274
0.750 0.250 0.500
0.250 0.750 0.500
0.912 0.814 0.726
0.045 0.250 0.795
0.545 0.750 0.795
0.588 0.314 0.903
0.862 0.262 0.123
0.638 0.762 0.400
0.362 0.238 0.600
0.138 0.738 0.877
0.250 0.250 0.000
0.750 0.750 0.000
0.349 0.917 0.267
0.849 0.583 0.432
0.151 0.417 0.568
0.651 0.083 0.733
```

***

Number 1: raw total energy -6.0442 eV per atom, theoretical density 5.4 g cm⁻³. Number 2: raw total energy -2.8943 eV per atom, theoretical density 5.1 g cm⁻³. Number 3: raw total energy -8.9246 eV per atom, theoretical density 13.7 g cm⁻³. Number 4: raw total energy -8.7826 eV per atom, theoretical density 15.4 g cm⁻³. Number 5: raw total energy -6.8285 eV per atom, theoretical density 12.4 g cm⁻³. Number 6: raw total energy -3.2588 eV per atom, theoretical density 17.9 g cm⁻³. Number 7: raw total energy -5.5437 eV per atom, theoretical density 5.0 g cm⁻³. Number 8: raw total energy -6.8424 eV per atom, theoretical density 8.9 g cm⁻³.